1.
LiW6CCl18 at its PBEsol-relaxed geometry. Source: the Alexandria database, functional meta-GGA SCAN.

Cell: 9.0332 9.0332 17.0077 Å, 90.00 90.00 120.00°
Sites, in units of the cell vectors:
1 Li 0.0000 0.0000 0.0000
2 Li 0.0000 0.0000 0.5000
3 W 0.1807 0.7054 0.1660
4 W 0.1807 0.7054 0.3340
5 W 0.2946 0.4752 0.1660
6 W 0.2946 0.4752 0.3340
7 W 0.4752 0.1807 0.6660
8 W 0.4752 0.1807 0.8340
9 W 0.5248 0.8193 0.1660
10 W 0.5248 0.8193 0.3340
11 W 0.7054 0.5248 0.6660
12 W 0.7054 0.5248 0.8340
13 W 0.8193 0.2946 0.6660
14 W 0.8193 0.2946 0.8340
15 C 0.3333 0.6667 0.2500
16 C 0.6667 0.3333 0.7500
17 Cl 0.0250 0.2441 0.5965
18 Cl 0.0250 0.2441 0.9035
19 Cl 0.0596 0.4757 0.7500
20 Cl 0.0635 0.2788 0.2500
21 Cl 0.0970 0.4772 0.0753
22 Cl 0.0970 0.4772 0.4247
23 Cl 0.2153 0.9365 0.2500
24 Cl 0.2191 0.9750 0.5965
25 Cl 0.2191 0.9750 0.9035
26 Cl 0.2441 0.2191 0.0965
27 Cl 0.2441 0.2191 0.4035
28 Cl 0.2788 0.2153 0.7500
29 Cl 0.3802 0.9030 0.0753
30 Cl 0.3802 0.9030 0.4247
31 Cl 0.4161 0.9404 0.7500
32 Cl 0.4757 0.4161 0.2500
33 Cl 0.4772 0.3802 0.5753
34 Cl 0.4772 0.3802 0.9247
35 Cl 0.5228 0.6198 0.0753
36 Cl 0.5228 0.6198 0.4247
37 Cl 0.5243 0.5839 0.7500
38 Cl 0.5839 0.0596 0.2500
39 Cl 0.6198 0.0970 0.5753
40 Cl 0.6198 0.0970 0.9247
41 Cl 0.7212 0.7847 0.2500
42 Cl 0.7559 0.7809 0.5965
43 Cl 0.7559 0.7809 0.9035
44 Cl 0.7809 0.0250 0.0965
45 Cl 0.7809 0.0250 0.4035
46 Cl 0.7847 0.0635 0.7500
47 Cl 0.9030 0.5228 0.5753
48 Cl 0.9030 0.5228 0.9247
49 Cl 0.9365 0.7212 0.7500
50 Cl 0.9404 0.5243 0.2500
51 Cl 0.9750 0.7559 0.0965
52 Cl 0.9750 0.7559 0.4035

Properties
Calculated density (g/cm³): 4.86
D(E_F) (states/eV/cell): 13.7
E_tot (eV/atom): -23.021

---

2.
Fe2OsPb at its PBEsol-relaxed geometry. Source: the Alexandria database, functional meta-GGA SCAN.

Cell: 5.0960 5.0960 5.0960 Å, 144.06 128.49 64.41°
Sites, in units of the cell vectors:
1 Fe 0.2398 0.2398 0.0000
2 Fe 0.7602 0.7602 0.0000
3 Os 0.0000 0.5000 0.5000
4 Pb 0.5000 0.0000 0.5000

Properties
Calculated density (g/cm³): 14.08
D(E_F) (states/eV/cell): 3.9
Energy relative to the elements (meV per atom): 650
E_tot (eV/atom): -45.330

---

3.
HfReSi2 at its PBEsol-relaxed geometry. Source: the Alexandria database, functional meta-GGA SCAN.

Cell: 4.3796 4.3796 4.3796 Å, 60.00 60.00 60.00°
Sites, in units of the cell vectors:
1 Hf 0.0000 0.0000 0.0000
2 Re 0.5000 0.5000 0.5000
3 Si 0.2500 0.2500 0.2500
4 Si 0.7500 0.7500 0.7500

Properties
Calculated density (g/cm³): 11.77
D(E_F) (states/eV/cell): 2.5
E_tot (eV/atom): -38.630

---

4.
Pr3P6Pd20 at its PBEsol-relaxed geometry. Source: the Alexandria database, functional meta-GGA SCAN.

Cell: 8.6152 8.6152 8.6152 Å, 60.00 60.00 60.00°
Sites, in units of the cell vectors:
1 Pr 0.0000 0.0000 0.0000
2 Pr 0.2500 0.2500 0.2500
3 Pr 0.7500 0.7500 0.7500
4 P 0.2629 0.2629 0.7371
5 P 0.2629 0.7371 0.2629
6 P 0.2629 0.7371 0.7371
7 P 0.7371 0.2629 0.2629
8 P 0.7371 0.2629 0.7371
9 P 0.7371 0.7371 0.2629
10 Pd 0.0000 0.0000 0.3477
11 Pd 0.0000 0.0000 0.6523
12 Pd 0.0000 0.3477 0.0000
13 Pd 0.0000 0.3477 0.6523
14 Pd 0.0000 0.6523 0.0000
15 Pd 0.0000 0.6523 0.3477
16 Pd 0.1592 0.6136 0.6136
17 Pd 0.3477 0.0000 0.0000
18 Pd 0.3477 0.0000 0.6523
19 Pd 0.3477 0.6523 0.0000
20 Pd 0.3864 0.3864 0.3864
21 Pd 0.3864 0.3864 0.8408
22 Pd 0.3864 0.8408 0.3864
23 Pd 0.6136 0.1592 0.6136
24 Pd 0.6136 0.6136 0.1592
25 Pd 0.6136 0.6136 0.6136
26 Pd 0.6523 0.0000 0.0000
27 Pd 0.6523 0.0000 0.3477
28 Pd 0.6523 0.3477 0.0000
29 Pd 0.8408 0.3864 0.3864

Properties
Calculated density (g/cm³): 10.05
D(E_F) (states/eV/cell): 11.8
Energy relative to the elements (meV per atom): -751
E_tot (eV/atom): -29.988

---

5.
Ag2Mo at its PBEsol-relaxed geometry. Source: the Alexandria database, functional meta-GGA SCAN.

Cell: 4.9261 4.9261 4.9261 Å, 148.52 129.08 61.10°
Sites, in units of the cell vectors:
1 Ag 0.1653 0.1653 0.0000
2 Ag 0.8347 0.8347 0.0000
3 Mo 0.5000 0.5000 0.0000

Properties
Calculated density (g/cm³): 10.78
D(E_F) (states/eV/cell): 1.9
Energy above the lowest structure with this stoichiometry (eV per atom): 0.029
Energy relative to the elements (meV per atom): 670
E_tot (eV/atom): -31.870

---

6.
LaPAu2 at its PBEsol-relaxed geometry. Source: the Alexandria database, functional meta-GGA SCAN.

Cell: 3.9174 3.9174 5.8580 Å, 90.00 90.00 90.00°
Sites, in units of the cell vectors:
1 La 0.0000 0.0000 0.0000
2 P 0.5000 0.5000 0.1244
3 Au 0.0000 0.0000 0.5134
4 Au 0.5000 0.5000 0.5502

Properties
Calculated density (g/cm³): 10.41
D(E_F) (states/eV/cell): 1.4
Energy relative to the elements (meV per atom): -615
E_tot (eV/atom): -48.570

---

7.
Na2Cu2Ge at its PBEsol-relaxed geometry. Source: the Alexandria database, functional meta-GGA SCAN.

Cell: 9.7099 9.7099 9.7099 Å, 160.84 160.84 27.22°
Sites, in units of the cell vectors:
1 Na 0.1148 0.1148 0.0000
2 Na 0.8852 0.8852 0.0000
3 Cu 0.2500 0.7500 0.5000
4 Cu 0.7500 0.2500 0.5000
5 Ge 0.5000 0.5000 0.0000

Properties
Calculated density (g/cm³): 4.14
D(E_F) (states/eV/cell): 1.8
Energy relative to the elements (meV per atom): 233
E_tot (eV/atom): -11.351

---

8.
Na2Mo15Se19 at its PBEsol-relaxed geometry. Source: the Alexandria database, functional meta-GGA SCAN.

Cell: 20.2744 20.2744 20.2744 Å, 27.05 27.05 27.05°
Sites, in units of the cell vectors:
1 Na 0.1048 0.1048 0.1048
2 Na 0.3952 0.3952 0.3952
3 Na 0.6048 0.6048 0.6048
4 Na 0.8952 0.8952 0.8952
5 Mo 0.0020 0.1306 0.8089
6 Mo 0.0438 0.3639 0.2257
7 Mo 0.0880 0.2500 0.4120
8 Mo 0.1306 0.8089 0.0020
9 Mo 0.1361 0.4562 0.2743
10 Mo 0.1911 0.9980 0.8694
11 Mo 0.2257 0.0438 0.3639
12 Mo 0.2500 0.4120 0.0880
13 Mo 0.2743 0.1361 0.4562
14 Mo 0.3089 0.6306 0.5020
15 Mo 0.3639 0.2257 0.0438
16 Mo 0.3694 0.4980 0.6911
17 Mo 0.4120 0.0880 0.2500
18 Mo 0.4562 0.2743 0.1361
19 Mo 0.4980 0.6911 0.3694
20 Mo 0.5020 0.3089 0.6306
21 Mo 0.5438 0.7257 0.8639
22 Mo 0.5880 0.9120 0.7500
23 Mo 0.6306 0.5020 0.3089
24 Mo 0.6361 0.7743 0.9562
25 Mo 0.6911 0.3694 0.4980
26 Mo 0.7257 0.8639 0.5438
27 Mo 0.7500 0.5880 0.9120
28 Mo 0.7743 0.9562 0.6361
29 Mo 0.8089 0.0020 0.1306
30 Mo 0.8639 0.5438 0.7257
31 Mo 0.8694 0.1911 0.9980
32 Mo 0.9120 0.7500 0.5880
33 Mo 0.9562 0.6361 0.7743
34 Mo 0.9980 0.8694 0.1911
35 Se 0.0446 0.6817 0.4179
36 Se 0.0538 0.0538 0.0538
37 Se 0.0572 0.3068 0.6844
38 Se 0.0640 0.4360 0.7500
39 Se 0.0821 0.8183 0.4554
40 Se 0.1769 0.1769 0.1769
41 Se 0.1817 0.5446 0.9179
42 Se 0.1844 0.8068 0.5572
43 Se 0.1932 0.4428 0.8156
44 Se 0.2500 0.9360 0.5640
45 Se 0.3068 0.6844 0.0572
46 Se 0.3156 0.9428 0.6932
47 Se 0.3183 0.5821 0.9554
48 Se 0.3231 0.3231 0.3231
49 Se 0.4179 0.0446 0.6817
50 Se 0.4360 0.7500 0.0640
51 Se 0.4428 0.8156 0.1932
52 Se 0.4462 0.4462 0.4462
53 Se 0.4554 0.0821 0.8183
54 Se 0.5446 0.9179 0.1817
55 Se 0.5538 0.5538 0.5538
56 Se 0.5572 0.1844 0.8068
57 Se 0.5640 0.2500 0.9360
58 Se 0.5821 0.9554 0.3183
59 Se 0.6769 0.6769 0.6769
60 Se 0.6817 0.4179 0.0446
61 Se 0.6844 0.0572 0.3068
62 Se 0.6932 0.3156 0.9428
63 Se 0.7500 0.0640 0.4360
64 Se 0.8068 0.5572 0.1844
65 Se 0.8156 0.1932 0.4428
66 Se 0.8183 0.4554 0.0821
67 Se 0.8231 0.8231 0.8231
68 Se 0.9179 0.1817 0.5446
69 Se 0.9360 0.5640 0.2500
70 Se 0.9428 0.6932 0.3156
71 Se 0.9462 0.9462 0.9462
72 Se 0.9554 0.3183 0.5821

Properties
Calculated density (g/cm³): 6.52
D(E_F) (states/eV/cell): 30.7
E_tot (eV/atom): -25.987